# 1
Density functional theory data (PBE) for crystalline HgSbOs2 at its relaxed geometry.

Properties
Magnetization   0.0001 μB/atom
E_form (uncorrected)   1072 meV/atom
Crystal system   cubic
Energy relative to the lowest polymorph listed for this composition   0.570 eV per atom
Electronic total energy   -5.65 eV/atom

a = 4.673 Å, b = 4.673 Å, c = 4.673 Å
α = 60.00°, β = 60.00°, γ = 60.00°
Positions (direct):
Hg1 0.000 0.000 0.000
Sb1 0.250 0.250 0.250
Os1 0.500 0.500 0.500
Os2 0.750 0.750 0.750


# 2
Density functional theory data (PBE) for crystalline NaTa3Pb at its relaxed geometry.

Properties
Magnetization   0.0000 μB/atom
ΔE_f   224.3 kJ per mole of atoms
Crystal system   cubic
Energy relative to the lowest polymorph listed for this composition   0.195 eV per atom
Electronic total energy   -5.79 eV/atom

a = 5.220 Å, b = 5.220 Å, c = 5.220 Å
α = 90.00°, β = 90.00°, γ = 90.00°
Positions (direct):
Na1 0.000 0.000 0.000
Ta1 0.000 0.500 0.500
Ta2 0.500 0.000 0.500
Ta3 0.500 0.500 0.000
Pb1 0.500 0.500 0.500


# 3
Density functional theory data (PBE) for crystalline Cs2NiBrCl5 at its relaxed geometry.

Properties
Magnetization   0.0000 μB/atom
E_form (uncorrected)   -1133 meV/atom
Crystal system   tetragonal
Electronic total energy   -3.18 eV/atom

a = 7.383 Å, b = 7.383 Å, c = 7.383 Å
α = 118.68°, β = 118.68°, γ = 92.30°
Positions (direct):
Cs1 0.000 0.500 0.500
Cs2 0.500 0.000 0.500
Ni1 0.251 0.251 0.000
Br1 0.015 0.015 0.000
Cl1 0.038 0.038 0.577
Cl2 0.038 0.461 0.000
Cl3 0.461 0.038 0.000
Cl4 0.461 0.461 0.423
Cl5 0.473 0.473 0.000


# 4
Density functional theory data (PBE) for crystalline PmHg3Pb at its relaxed geometry.

Properties
Magnetization   0.0000 μB/atom
ΔE_f   6.4 kJ per mole of atoms
Crystal system   tetragonal
Energy relative to the lowest polymorph listed for this composition   0.311 eV per atom
Electronic total energy   -1.81 eV/atom

a = 11.333 Å, b = 11.333 Å, c = 11.333 Å
α = 148.44°, β = 148.44°, γ = 45.24°
Positions (direct):
Pm1 0.245 0.245 0.000
Pm2 0.755 0.755 0.000
Hg1 0.358 0.618 0.740
Hg2 0.382 0.122 0.740
Hg3 0.382 0.642 0.260
Hg4 0.676 0.176 0.500
Hg5 0.824 0.324 0.500
Hg6 0.878 0.618 0.260
Pb1 0.250 0.750 0.500
Pb2 0.500 0.500 0.000


# 5
Density functional theory data (PBE) for crystalline ScSiHg at its relaxed geometry.

Properties
Magnetization   0.0000 μB/atom
E_form (uncorrected)   -278 meV/atom
Crystal system   monoclinic
Energy relative to the lowest polymorph listed for this composition   0.165 eV per atom
Electronic total energy   -4.30 eV/atom

a = 5.285 Å, b = 5.285 Å, c = 6.739 Å
α = 95.55°, β = 95.55°, γ = 41.26°
Positions (direct):
Sc1 0.000 0.000 0.000
Sc2 0.713 0.713 0.343
Si1 0.312 0.312 0.099
Si2 0.695 0.695 0.918
Hg1 0.009 0.009 0.479
Hg2 0.315 0.315 0.672


# 6
Density functional theory data (PBE) for crystalline SiIrOs2 at its relaxed geometry.

Properties
Magnetization   0.4577 μB/atom
E_form (uncorrected)   465 meV/atom
Crystal system   cubic
Electronic total energy   -8.72 eV/atom

a = 4.331 Å, b = 4.331 Å, c = 4.331 Å
α = 60.00°, β = 60.00°, γ = 60.00°
Positions (direct):
Si1 0.000 0.000 0.000
Ir1 0.750 0.750 0.750
Os1 0.250 0.250 0.250
Os2 0.500 0.500 0.500


# 7
Density functional theory data (PBE) for crystalline CsIn2Cu at its relaxed geometry.

Properties
Magnetization   0.0000 μB/atom
ΔE_f   8.0 kJ per mole of atoms
Crystal system   tetragonal
Energy relative to the lowest polymorph listed for this composition   0.073 eV per atom
Electronic total energy   -2.52 eV/atom

a = 3.448 Å, b = 3.448 Å, c = 9.372 Å
α = 90.00°, β = 90.00°, γ = 90.00°
Positions (direct):
Cs1 0.000 0.000 0.000
In1 0.500 0.500 0.329
In2 0.500 0.500 0.671
Cu1 0.000 0.000 0.500


# 8
Density functional theory data (PBE) for crystalline AlCSe2Br at its relaxed geometry.

Properties
Magnetization   0.0000 μB/atom
E_form (uncorrected)   970 meV/atom
Crystal system   tetragonal
Energy relative to the lowest polymorph listed for this composition   0.000 eV per atom
Electronic total energy   -3.35 eV/atom

a = 4.454 Å, b = 4.454 Å, c = 4.731 Å
α = 90.00°, β = 90.00°, γ = 90.00°
Positions (direct):
Al1 0.000 0.000 0.000
C1 0.500 0.500 0.500
Se1 0.000 0.500 0.500
Se2 0.500 0.000 0.500
Br1 0.500 0.500 0.000


# 9
Density functional theory data (PBE) for crystalline LiPm2Si3 at its relaxed geometry.

Properties
Magnetization   0.0000 μB/atom
E_form (uncorrected)   -294 meV/atom
Crystal system   orthorhombic
Energy relative to the lowest polymorph listed for this composition   0.378 eV per atom
Electronic total energy   -4.91 eV/atom

a = 8.090 Å, b = 8.090 Å, c = 4.952 Å
α = 90.00°, β = 90.00°, γ = 62.33°
Positions (direct):
Li1 0.148 0.852 0.750
Li2 0.852 0.148 0.250
Pm1 0.163 0.514 0.250
Pm2 0.486 0.837 0.250
Pm3 0.514 0.163 0.750
Pm4 0.837 0.486 0.750
Si1 0.162 0.162 0.000
Si2 0.162 0.162 0.500
Si3 0.500 0.500 0.000
Si4 0.500 0.500 0.500
Si5 0.838 0.838 0.000
Si6 0.838 0.838 0.500


# 10
Density functional theory data (PBE) for crystalline Ac4Cd5Sn7 at its relaxed geometry.

Properties
Magnetization   0.0000 μB/atom
ΔE_f   -40.3 kJ per mole of atoms
Crystal system   tetragonal
Electronic total energy   -3.48 eV/atom

a = 11.848 Å, b = 11.848 Å, c = 11.848 Å
α = 147.53°, β = 147.53°, γ = 46.57°
Positions (direct):
Ac1 0.121 0.638 0.000
Ac2 0.362 0.362 0.483
Ac3 0.638 0.121 0.000
Ac4 0.879 0.879 0.517
Cd1 0.250 0.250 0.000
Cd2 0.250 0.750 0.500
Cd3 0.500 0.500 0.000
Cd4 0.750 0.250 0.500
Cd5 0.750 0.750 0.000
Sn1 0.000 0.000 0.000
Sn2 0.000 0.500 0.500
Sn3 0.096 0.096 0.510
Sn4 0.414 0.904 0.000
Sn5 0.500 0.000 0.500
Sn6 0.586 0.586 0.490
Sn7 0.904 0.414 0.000


# 11
Density functional theory data (PBE) for crystalline Na2Hg13 at its relaxed geometry.

Properties
Magnetization   0.0000 μB/atom
ΔE_f   -4.9 kJ per mole of atoms
Crystal system   trigonal
Energy relative to the lowest polymorph listed for this composition   0.000 eV per atom
Electronic total energy   -0.49 eV/atom

a = 8.797 Å, b = 8.797 Å, c = 8.797 Å
α = 57.66°, β = 57.66°, γ = 57.66°
Positions (direct):
Na1 0.135 0.135 0.135
Na2 0.865 0.865 0.865
Hg1 0.000 0.000 0.000
Hg2 0.118 0.118 0.500
Hg3 0.118 0.500 0.118
Hg4 0.272 0.272 0.639
Hg5 0.272 0.639 0.272
Hg6 0.361 0.728 0.728
Hg7 0.500 0.118 0.118
Hg8 0.500 0.882 0.882
Hg9 0.639 0.272 0.272
Hg10 0.728 0.361 0.728
Hg11 0.728 0.728 0.361
Hg12 0.882 0.500 0.882
Hg13 0.882 0.882 0.500


# 12
Density functional theory data (PBE) for crystalline Pt2COF at its relaxed geometry.

Properties
Magnetization   0.0000 μB/atom
E_form (uncorrected)   1484 meV/atom
Crystal system   tetragonal
Electronic total energy   -4.14 eV/atom

a = 4.056 Å, b = 4.056 Å, c = 4.025 Å
α = 90.00°, β = 90.00°, γ = 90.00°
Positions (direct):
Pt1 0.000 0.500 0.000
Pt2 0.500 0.000 0.000
C1 0.000 0.000 0.500
O1 0.500 0.500 0.000
F1 0.500 0.500 0.500


# 13
Density functional theory data (PBE) for crystalline SrZr2Tl at its relaxed geometry.

Properties
Magnetization   0.0000 μB/atom
ΔE_f   28.4 kJ per mole of atoms
Crystal system   tetragonal
Energy relative to the lowest polymorph listed for this composition   0.244 eV per atom
Electronic total energy   -4.99 eV/atom

a = 5.812 Å, b = 5.812 Å, c = 5.812 Å
α = 132.43°, β = 132.43°, γ = 69.55°
Positions (direct):
Sr1 0.000 0.000 0.000
Zr1 0.500 0.500 0.000
Zr2 0.750 0.250 0.500
Tl1 0.250 0.750 0.500


# 14
Density functional theory data (PBE) for crystalline BaZr4Os at its relaxed geometry.

Properties
Magnetization   0.0000 μB/atom
ΔE_f   74.8 kJ per mole of atoms
Crystal system   cubic
Electronic total energy   -7.12 eV/atom

a = 5.821 Å, b = 5.821 Å, c = 5.821 Å
α = 60.00°, β = 60.00°, γ = 60.00°
Positions (direct):
Ba1 0.000 0.000 0.000
Zr1 0.377 0.377 0.377
Zr2 0.377 0.377 0.869
Zr3 0.377 0.869 0.377
Zr4 0.869 0.377 0.377
Os1 0.750 0.750 0.750


# 15
Density functional theory data (PBE) for crystalline Ca2SmAlO at its relaxed geometry.

Properties
Magnetization   0.0000 μB/atom
E_form (uncorrected)   -1314 meV/atom
Crystal system   tetragonal
Electronic total energy   -4.80 eV/atom

a = 4.776 Å, b = 4.776 Å, c = 4.968 Å
α = 90.00°, β = 90.00°, γ = 90.00°
Positions (direct):
Ca1 0.000 0.500 0.000
Ca2 0.500 0.000 0.000
Sm1 0.000 0.000 0.500
Al1 0.500 0.500 0.500
O1 0.000 0.000 0.000


# 16
Density functional theory data (PBE) for crystalline NpTlHgAu at its relaxed geometry.

Properties
Magnetization   1.0807 μB/atom
ΔE_f   5.3 kJ per mole of atoms
Crystal system   cubic
Electronic total energy   -4.67 eV/atom

a = 5.147 Å, b = 5.147 Å, c = 5.147 Å
α = 60.00°, β = 60.00°, γ = 60.00°
Positions (direct):
Np1 0.000 0.000 0.000
Tl1 0.500 0.500 0.500
Hg1 0.750 0.750 0.750
Au1 0.250 0.250 0.250


# 17
Density functional theory data (PBE) for crystalline Ba6Pt2BrCl3 at its relaxed geometry.

Properties
Magnetization   0.0000 μB/atom
E_form (uncorrected)   -1490 meV/atom
Crystal system   monoclinic
Electronic total energy   -4.06 eV/atom

a = 10.514 Å, b = 10.514 Å, c = 9.745 Å
α = 104.34°, β = 104.34°, γ = 25.07°
Positions (direct):
Ba1 0.014 0.014 0.265
Ba2 0.323 0.323 0.883
Ba3 0.326 0.326 0.436
Ba4 0.674 0.674 0.564
Ba5 0.677 0.677 0.117
Ba6 0.986 0.986 0.735
Pt1 0.167 0.167 0.332
Pt2 0.833 0.833 0.668
Br1 0.500 0.500 0.000
Cl1 0.153 0.153 0.844
Cl2 0.500 0.500 0.500
Cl3 0.847 0.847 0.156


# 18
Density functional theory data (PBE) for crystalline Pa2Mn5AlFe2 at its relaxed geometry.

Properties
Magnetization   0.1368 μB/atom
ΔE_f   -3.4 kJ per mole of atoms
Crystal system   tetragonal
Electronic total energy   -8.59 eV/atom

a = 8.413 Å, b = 8.413 Å, c = 4.022 Å
α = 90.00°, β = 90.00°, γ = 90.00°
Positions (direct):
Pa1 0.150 0.350 0.000
Pa2 0.350 0.850 0.000
Pa3 0.650 0.150 0.000
Pa4 0.850 0.650 0.000
Mn1 0.000 0.500 0.500
Mn2 0.071 0.823 0.500
Mn3 0.177 0.071 0.500
Mn4 0.323 0.571 0.500
Mn5 0.429 0.323 0.500
Mn6 0.500 0.000 0.500
Mn7 0.571 0.677 0.500
Mn8 0.677 0.429 0.500
Mn9 0.823 0.929 0.500
Mn10 0.929 0.177 0.500
Al1 0.000 0.000 0.000
Al2 0.500 0.500 0.000
Fe1 0.159 0.659 0.000
Fe2 0.341 0.159 0.000
Fe3 0.659 0.841 0.000
Fe4 0.841 0.341 0.000


# 19
Density functional theory data (PBE) for crystalline Ba2LaFe at its relaxed geometry.

Properties
Magnetization   0.5220 μB/atom
ΔE_f   63.8 kJ per mole of atoms
Crystal system   tetragonal
Energy relative to the lowest polymorph listed for this composition   0.352 eV per atom
Electronic total energy   -3.65 eV/atom

a = 5.843 Å, b = 5.843 Å, c = 5.843 Å
α = 120.26°, β = 120.26°, γ = 89.55°
Positions (direct):
Ba1 0.000 0.000 0.000
Ba2 0.750 0.250 0.500
La1 0.500 0.500 0.000
Fe1 0.250 0.750 0.500


# 20
Density functional theory data (PBE) for crystalline AlInTe2 at its relaxed geometry.

Properties
Magnetization   0.0000 μB/atom
E_form (uncorrected)   -32 meV/atom
Crystal system   monoclinic
Electronic total energy   -3.22 eV/atom

a = 2.938 Å, b = 6.301 Å, c = 6.297 Å
α = 90.00°, β = 90.35°, γ = 90.00°
Positions (direct):
Al1 0.000 0.000 0.000
In1 0.997 0.500 0.500
Te1 0.997 0.500 0.999
Te2 0.999 0.000 0.499